This record from OQMD via LeMat-Bulk describes an optimized crystal structure of DyCl2. The functional is GGA-PBE.

It has space group P4_2/mnm (No. 136), with a = 6.863 Å, b = 6.863 Å, c = 3.470 Å, α = 90.00°, β = 90.00° and γ = 90.00°. The distinct sites, in fractional coordinates, are Dy at (0.000, 0.000, 0.000) and Cl at (0.219, 0.219, 0.500).



This record from OQMD via LeMat-Bulk describes an optimized crystal structure of Dy3Cl2. The functional is GGA-PBE.

It has space group R-3c (No. 167, hexagonal axes), with a = 6.8305 Å, b = 6.8305 Å, c = 18.3169 Å, α = 90.00°, β = 90.00° and γ = 120.00°. The distinct sites, in fractional coordinates, are Dy at (0.0000, 0.3416, 0.2500) and Cl at (0.0000, 0.0000, 0.1656).



This record from OQMD via LeMat-Bulk describes an optimized crystal structure of DyErCl6. The functional is GGA-PBE.

It has space group C2 (No. 5), with a = 6.819 Å, b = 11.845 Å, c = 6.511 Å, α = 90.00°, β = 110.66° and γ = 90.00°. The distinct sites, in fractional coordinates, are Dy at (0.000, 0.000, 0.000), Er at (0.000, 0.331, 0.000), Cl at (0.219, 0.167, 0.245), Cl at (0.237, 0.346, 0.760) and Cl at (0.241, 0.984, 0.759).



This record from OQMD via LeMat-Bulk describes an optimized crystal structure of DyErGeCl2. The functional is GGA-PBE.

It has space group P3m1 (No. 156), with a = 4.0569 Å, b = 4.0569 Å, c = 9.5978 Å, α = 90.00°, β = 90.00° and γ = 120.00°. The distinct sites, in fractional coordinates, are Dy at (0.0000, 0.0000, 0.0000), Er at (0.3333, 0.6667, 0.6652), Ge at (0.6667, 0.3333, 0.8315), Cl at (0.0000, 0.0000, 0.5034) and Cl at (0.3333, 0.6667, 0.1629).



Number 1: electronic total energy -4.637 eV/atom. Number 2: electronic total energy -4.452 eV/atom. Number 3: electronic total energy -4.811 eV/atom. Number 4: electronic total energy -5.122 eV/atom.